Below is a relaxed structure of AcPr6Sm2Y3, with properties calculated at the PBE level. Values from VASP.

The structure in Quantum ESPRESSO input format:
```
&SYSTEM
  ibrav = 0, nat = 12, ntyp = 4
/
ATOMIC_SPECIES
Ac 227.00 Ac.upf
Pr 140.91 Pr.upf
Sm 150.36 Sm.upf
Y 88.91 Y.upf
CELL_PARAMETERS angstrom
3.2017 -5.5474 0.0000
3.2017 5.5474 0.0000
-2.1345 0.0000 11.9790
ATOMIC_POSITIONS crystal
Ac 0.0000 0.0000 0.0000
Pr 0.0853 0.4212 0.2549
Pr 0.2503 0.2503 0.7446
Pr 0.4212 0.0853 0.2549
Pr 0.5788 0.9147 0.7451
Pr 0.7497 0.7497 0.2554
Pr 0.9147 0.5788 0.7451
Sm 0.3334 0.6666 0.0000
Sm 0.6666 0.3334 0.0000
Y 0.1671 0.8329 0.5000
Y 0.5000 0.5000 0.5000
Y 0.8329 0.1671 0.5000
```

E_form = 20 meV per atom
E_tot = -5.1147 eV/atom

Below is a relaxed structure of AcPu2Bi, with properties calculated at the PBE level. Values from VASP.

The structure in Quantum ESPRESSO input format:
```
&SYSTEM
  ibrav = 0, nat = 16, ntyp = 3
/
ATOMIC_SPECIES
Ac 227.00 Ac.upf
Pu 244.00 Pu.upf
Bi 208.98 Bi.upf
CELL_PARAMETERS angstrom
7.8995 0.0000 0.0000
0.0000 7.8995 0.0000
0.0000 0.0000 7.8995
ATOMIC_POSITIONS crystal
Ac 0.0000 0.0000 0.0000
Ac 0.0000 0.5000 0.5000
Ac 0.5000 0.0000 0.5000
Ac 0.5000 0.5000 0.0000
Pu 0.2500 0.2500 0.2500
Pu 0.2500 0.2500 0.7500
Pu 0.2500 0.7500 0.2500
Pu 0.2500 0.7500 0.7500
Pu 0.7500 0.2500 0.2500
Pu 0.7500 0.2500 0.7500
Pu 0.7500 0.7500 0.2500
Pu 0.7500 0.7500 0.7500
Bi 0.0000 0.0000 0.5000
Bi 0.0000 0.5000 0.0000
Bi 0.5000 0.0000 0.0000
Bi 0.5000 0.5000 0.5000
```

E_form = 65 meV per atom
E_tot = -9.0988 eV/atom
E above lowest polymorph = 245 meV/atom

Below is a relaxed structure of Cu2AuS, with properties calculated at the PBE level. Values from VASP.

The structure in Quantum ESPRESSO input format:
```
&SYSTEM
  ibrav = 0, nat = 12, ntyp = 3
/
ATOMIC_SPECIES
Cu 63.55 Cu.upf
Au 196.97 Au.upf
S 32.06 S.upf
CELL_PARAMETERS angstrom
3.3138 0.0000 0.0000
-1.6569 2.8698 0.0000
0.0000 0.0000 19.7422
ATOMIC_POSITIONS crystal
Cu 0.0000 0.0000 0.0000
Cu 0.0000 0.0000 0.1892
Cu 0.3333 0.6667 0.6667
Cu 0.3333 0.6667 0.8558
Cu 0.6667 0.3333 0.3333
Cu 0.6667 0.3333 0.5225
Au 0.0000 0.0000 0.7618
Au 0.3333 0.6667 0.4285
Au 0.6667 0.3333 0.0952
S 0.0000 0.0000 0.5938
S 0.3333 0.6667 0.2604
S 0.6667 0.3333 0.9271
```

Formation energy without anion corrections = 97.7 meV per atom
E_tot = -3.8016 eV/atom

Below is a relaxed structure of La3Zn4Ir2, with properties calculated at the PBE level. Values from VASP.

The structure in Quantum ESPRESSO input format:
```
&SYSTEM
  ibrav = 0, nat = 9, ntyp = 3
/
ATOMIC_SPECIES
La 138.91 La.upf
Zn 65.41 Zn.upf
Ir 192.22 Ir.upf
CELL_PARAMETERS angstrom
5.7755 -2.1428 0.0000
5.7755 2.1428 0.0000
-3.2112 0.0000 8.1555
ATOMIC_POSITIONS crystal
La 0.0000 0.0000 0.0000
La 0.3136 0.3136 0.3544
La 0.6864 0.6864 0.6456
Zn 0.0317 0.0317 0.3702
Zn 0.2791 0.2791 0.9445
Zn 0.7209 0.7209 0.0555
Zn 0.9683 0.9683 0.6298
Ir 0.3892 0.3892 0.7318
Ir 0.6108 0.6108 0.2682
```

E_form = -530 meV per atom
E_tot = -4.7074 eV/atom

Below is a relaxed structure of Tb4GaHg2Au, with properties calculated at the PBE level. Values from VASP.

The structure in Quantum ESPRESSO input format:
```
&SYSTEM
  ibrav = 0, nat = 8, ntyp = 4
/
ATOMIC_SPECIES
Tb 158.93 Tb.upf
Ga 69.72 Ga.upf
Hg 200.59 Hg.upf
Au 196.97 Au.upf
CELL_PARAMETERS angstrom
2.5986 1.5003 8.4862
-2.5986 1.5003 8.4862
0.0000 -3.0006 8.4862
ATOMIC_POSITIONS crystal
Tb 0.1244 0.1244 0.1244
Tb 0.3746 0.3746 0.3746
Tb 0.6254 0.6254 0.6254
Tb 0.8756 0.8756 0.8756
Ga 0.5000 0.5000 0.5000
Hg 0.2478 0.2478 0.2478
Hg 0.7522 0.7522 0.7522
Au 0.0000 0.0000 0.0000
```

E_form = -583 meV per atom
E_tot = -3.7618 eV/atom

Below is a relaxed structure of NdSm4Tl3, with properties calculated at the PBE level. Values from VASP.

The structure in Quantum ESPRESSO input format:
```
&SYSTEM
  ibrav = 0, nat = 8, ntyp = 3
/
ATOMIC_SPECIES
Nd 144.24 Nd.upf
Sm 150.36 Sm.upf
Tl 204.38 Tl.upf
CELL_PARAMETERS angstrom
2.7420 1.5831 9.3669
-2.7420 1.5831 9.3669
0.0000 -3.1662 9.3669
ATOMIC_POSITIONS crystal
Nd 0.0000 0.0000 0.0000
Sm 0.1315 0.1315 0.1315
Sm 0.3882 0.3882 0.3882
Sm 0.6118 0.6118 0.6118
Sm 0.8685 0.8685 0.8685
Tl 0.2645 0.2645 0.2645
Tl 0.5000 0.5000 0.5000
Tl 0.7355 0.7355 0.7355
```

E_form = -238 meV per atom
E_tot = -4.0814 eV/atom

Below is a relaxed structure of HoSi2Pt7Pb2, with properties calculated at the PBE level. Values from VASP.

The structure in Quantum ESPRESSO input format:
```
&SYSTEM
  ibrav = 0, nat = 12, ntyp = 4
/
ATOMIC_SPECIES
Ho 164.93 Ho.upf
Si 28.09 Si.upf
Pt 195.08 Pt.upf
Pb 207.20 Pb.upf
CELL_PARAMETERS angstrom
2.8277 -2.8292 0.0000
2.8277 2.8292 0.0000
-2.7647 0.0000 15.1683
ATOMIC_POSITIONS crystal
Ho 0.0000 0.0000 0.0000
Si 0.3862 0.3862 0.7677
Si 0.6138 0.6138 0.2323
Pt 0.0708 0.5706 0.1448
Pt 0.3078 0.3078 0.6152
Pt 0.4294 0.9292 0.8552
Pt 0.5000 0.5000 0.0000
Pt 0.5706 0.0708 0.1448
Pt 0.6922 0.6922 0.3848
Pt 0.9292 0.4294 0.8552
Pb 0.2086 0.2086 0.4183
Pb 0.7914 0.7914 0.5817
```

Formation energy without anion corrections = -639.2 meV per atom
E_tot = -6.0663 eV/atom

Below is a relaxed structure of FeCo2, with properties calculated at the PBE level. Values from VASP.

The structure in Quantum ESPRESSO input format:
```
&SYSTEM
  ibrav = 0, nat = 12, ntyp = 2
/
ATOMIC_SPECIES
Fe 55.84 Fe.upf
Co 58.93 Co.upf
CELL_PARAMETERS angstrom
2.8137 0.0000 0.0000
0.0000 4.0034 0.0000
0.0000 0.0000 11.9968
ATOMIC_POSITIONS crystal
Fe 0.0000 0.2500 0.0850
Fe 0.0000 0.7500 0.9150
Fe 0.5000 0.2500 0.9150
Fe 0.5000 0.7500 0.0850
Co 0.0000 0.2500 0.4181
Co 0.0000 0.2500 0.7482
Co 0.0000 0.7500 0.2518
Co 0.0000 0.7500 0.5819
Co 0.5000 0.2500 0.2518
Co 0.5000 0.2500 0.5819
Co 0.5000 0.7500 0.4181
Co 0.5000 0.7500 0.7482
```

E_form = 45 meV per atom
E_tot = -7.5134 eV/atom